Record 1
First-principles (GGA-PBE) data for crystalline Ce3Tc2Ge2 at its relaxed geometry, as listed in Alexandria via LeMat-Bulk.

a b c (Å): 5.700 8.106 13.134
angles (deg): 90.00 90.00 90.00
Element x y z (fractional)
Ce (0.115, 0.218, 0.250)
Ce (0.115, 0.282, 0.750)
Ce (0.338, 0.593, 0.092)
Ce (0.338, 0.593, 0.408)
Ce (0.338, 0.907, 0.592)
Ce (0.338, 0.907, 0.908)
Ce (0.662, 0.093, 0.092)
Ce (0.662, 0.093, 0.408)
Ce (0.662, 0.407, 0.592)
Ce (0.662, 0.407, 0.908)
Ce (0.885, 0.718, 0.250)
Ce (0.885, 0.782, 0.750)
Tc (0.161, 0.537, 0.586)
Tc (0.161, 0.537, 0.914)
Tc (0.161, 0.963, 0.086)
Tc (0.161, 0.963, 0.414)
Tc (0.839, 0.037, 0.586)
Tc (0.839, 0.037, 0.914)
Tc (0.839, 0.463, 0.086)
Tc (0.839, 0.463, 0.414)
Ge (0.133, 0.250, 0.000)
Ge (0.133, 0.250, 0.500)
Ge (0.388, 0.624, 0.750)
Ge (0.388, 0.876, 0.250)
Ge (0.612, 0.124, 0.750)
Ge (0.612, 0.376, 0.250)
Ge (0.867, 0.750, 0.000)
Ge (0.867, 0.750, 0.500)

Density   8.3 g cm⁻³
Energy of formation from the pure elements   -514 meV/atom

***

Record 2
First-principles (GGA-PBE) data for crystalline CuRuSe2 at its relaxed geometry, as listed in Alexandria via LeMat-Bulk.

a b c (Å): 4.521 4.521 4.521
angles (deg): 60.00 60.00 60.00
Element x y z (fractional)
Cu (0.000, 0.000, 0.000)
Ru (0.250, 0.250, 0.250)
Se (0.500, 0.500, 0.500)
Se (0.750, 0.750, 0.750)

Density   8.2 g cm⁻³
ΔE_f (raw)   2.877 eV/f.u.

***

Record 3
First-principles (GGA-PBE) data for crystalline ZrScPdAu at its relaxed geometry, as listed in Alexandria via LeMat-Bulk.

a b c (Å): 3.309 3.309 7.008
angles (deg): 90.00 90.00 90.00
Element x y z (fractional)
Zr (0.000, 0.000, 0.000)
Sc (0.000, 0.000, 0.515)
Pd (0.500, 0.500, 0.745)
Au (0.500, 0.500, 0.269)

Density   9.5 g cm⁻³
Energy of formation from the pure elements   -680 meV/atom

***

Record 4
First-principles (GGA-PBE) data for crystalline CrSb2W at its relaxed geometry, as listed in Alexandria via LeMat-Bulk.

a b c (Å): 4.682 4.682 5.446
angles (deg): 98.55 98.55 42.12
Element x y z (fractional)
Cr (0.000, 0.000, 0.000)
Sb (0.238, 0.238, 0.737)
Sb (0.762, 0.762, 0.263)
W (0.500, 0.500, 0.500)

Density   10.1 g cm⁻³
Energy above the lowest structure with this stoichiometry   363 meV/atom
ΔE_f (raw)   2.359 eV/f.u.

***

Record 5
First-principles (GGA-PBE) data for crystalline CaSiPd3 at its relaxed geometry, as listed in Alexandria via LeMat-Bulk.

a b c (Å): 6.533 6.533 6.533
angles (deg): 128.55 94.86 106.98
Element x y z (fractional)
Ca (0.278, 0.028, 0.250)
Ca (0.722, 0.972, 0.750)
Si (0.000, 0.500, 0.500)
Si (0.500, 0.500, 0.000)
Pd (0.133, 0.383, 0.750)
Pd (0.244, 0.000, 0.744)
Pd (0.244, 0.500, 0.244)
Pd (0.756, 0.000, 0.256)
Pd (0.756, 0.500, 0.756)
Pd (0.867, 0.617, 0.250)

Density   6.6 g cm⁻³
Energy above the lowest structure with this stoichiometry   45 meV/atom
ΔE_f (raw)   -3.345 eV/f.u.

***

Record 6
First-principles (GGA-PBE) data for crystalline CaTl2Sb2 at its relaxed geometry, as listed in Alexandria via LeMat-Bulk.

a b c (Å): 8.862 8.862 8.862
angles (deg): 151.11 151.11 41.31
Element x y z (fractional)
Ca (0.000, 0.000, 0.000)
Tl (0.402, 0.402, 0.000)
Tl (0.598, 0.598, 0.000)
Sb (0.250, 0.750, 0.500)
Sb (0.750, 0.250, 0.500)

Density   7.1 g cm⁻³
Energy above the lowest structure with this stoichiometry   271 meV/atom
ΔE_f (raw)   -0.211 eV/f.u.

***

Q: Number 2 is which compound?
A: CuRuSe2

***

Copy entry 5 word for word.
First-principles (GGA-PBE) data for crystalline CaSiPd3 at its relaxed geometry, as listed in Alexandria via LeMat-Bulk.

a b c (Å): 6.533 6.533 6.533
angles (deg): 128.55 94.86 106.98
Element x y z (fractional)
Ca (0.278, 0.028, 0.250)
Ca (0.722, 0.972, 0.750)
Si (0.000, 0.500, 0.500)
Si (0.500, 0.500, 0.000)
Pd (0.133, 0.383, 0.750)
Pd (0.244, 0.000, 0.744)
Pd (0.244, 0.500, 0.244)
Pd (0.756, 0.000, 0.256)
Pd (0.756, 0.500, 0.756)
Pd (0.867, 0.617, 0.250)

Density   6.6 g cm⁻³
Energy above the lowest structure with this stoichiometry   45 meV/atom
ΔE_f (raw)   -3.345 eV/f.u.

***

Q: density of number 5 (CaSiPd3)?
A: 6.6 g cm⁻³